An optimized crystal structure of Mg2Zn5Cu2Ir, computed with PBE-GGA.

The structure in extended XYZ format:
```
20
Lattice="8.708 0.000 0.000 0.000 8.708 0.000 0.000 0.000 3.961" Properties=species:S:1:pos:R:3 pbc="T T T"
Mg 1.574 2.780 0.000
Mg 2.780 7.134 0.000
Mg 5.928 1.574 0.000
Mg 7.134 5.928 0.000
Zn 0.000 4.354 1.981
Zn 0.554 6.953 1.981
Zn 1.755 0.554 1.981
Zn 2.599 4.908 1.981
Zn 3.800 2.599 1.981
Zn 4.354 0.000 1.981
Zn 4.908 6.109 1.981
Zn 6.109 3.800 1.981
Zn 6.953 8.154 1.981
Zn 8.154 1.755 1.981
Cu 0.995 5.349 0.000
Cu 3.359 0.995 0.000
Cu 5.349 7.713 0.000
Cu 7.713 3.359 0.000
Ir 0.000 0.000 0.000
Ir 4.354 4.354 0.000
```

Energy relative to the elements (eV per atom): -0.147
SG: P4/mbm (127)

***

An optimized crystal structure of La4PmDy2Tm, computed with PBE-GGA.

The structure in extended XYZ format:
```
8
Lattice="5.983 0.000 0.000 0.000 5.974 0.000 -0.003 0.000 7.743" Properties=species:S:1:pos:R:3 pbc="T T T"
La 5.981 0.000 1.877
La -0.001 0.000 5.866
La 2.983 2.987 5.866
La 2.997 2.987 1.877
Pm 2.990 0.000 3.872
Dy -0.002 2.987 3.872
Dy 2.991 0.000 0.000
Tm 0.000 2.987 0.000
```

Energy relative to the elements (eV per atom): 0.082
SG: P2/m (10)

***

An optimized crystal structure of CeUNiSe4, computed with PBE-GGA.

The structure in extended XYZ format:
```
14
Lattice="6.775 0.000 0.000 0.000 6.033 0.000 -2.334 0.000 7.679" Properties=species:S:1:pos:R:3 pbc="T T T"
Ce 0.663 1.508 3.335
Ce 3.777 4.525 4.345
U -0.527 1.508 7.226
U 4.968 4.525 0.453
Ni 1.301 4.525 1.417
Ni 3.140 1.508 6.262
Se -0.426 4.525 2.983
Se -1.570 4.525 6.852
Se 1.506 3.075 5.784
Se 1.506 5.975 5.784
Se 2.934 0.059 1.895
Se 2.934 2.958 1.895
Se 6.011 1.508 0.827
Se 4.867 1.508 4.696
```

ΔE_f (raw) (eV/atom): -1.16
SG: P2_1/m (11)

***

An optimized crystal structure of DyTm2CdN, computed with PBE-GGA.

The structure in extended XYZ format:
```
5
Lattice="4.743 0.000 0.000 0.000 4.743 0.000 0.000 0.000 4.830" Properties=species:S:1:pos:R:3 pbc="T T T"
Dy 0.000 0.000 0.000
Tm 0.000 2.372 2.415
Tm 2.372 0.000 2.415
Cd 2.372 2.372 0.000
N 0.000 0.000 2.415
```

ΔE_f (raw) (eV/atom): -0.87
SG: P4/mmm (123)